The following is a DFT calculation (PBE) of Tb6YHo8 after structural relaxation.

E ... -67.35 eV for the cell shown
D(E_F) ... 22.0 states/eV/cell
Distance to the lowest polymorph of the same formula ... 105 meV per atom
Energy of formation ... 234.3 meV/atom

Cell lengths 6.480, 9.387, 9.387 Å; angles 120.00, 90.00, 90.00 degrees
Sites, in units of the cell vectors:
Tb (0.593, 0.680, 0.093)
Tb (0.593, 0.907, 0.587)
Tb (0.593, 0.413, 0.320)
Tb (0.407, 0.320, 0.907)
Tb (0.407, 0.093, 0.413)
Tb (0.407, 0.587, 0.680)
Y (0.500, 0.000, 0.000)
Ho (0.901, 0.977, 0.311)
Ho (0.901, 0.689, 0.666)
Ho (0.901, 0.334, 0.023)
Ho (0.099, 0.023, 0.689)
Ho (0.099, 0.311, 0.334)
Ho (0.099, 0.666, 0.977)
Ho (0.840, 0.333, 0.667)
Ho (0.160, 0.667, 0.333)